No. 1
MgCrNi6 | GGA-PBEsol | optimized geometry Values from VASP.

DOS at the Fermi energy: 0.969 states/eV per atom
formation energy from the elements: -58.1 meV/atom
calculated density: 8.2 g/cm3
crystal system: orthorhombic
DFT total energy: -6.171 eV/atom

The structure in Quantum ESPRESSO input format:
```
&SYSTEM
  ibrav = 0, nat = 32, ntyp = 3
/
ATOMIC_SPECIES
Cr 52.00 Cr.upf
Mg 24.30 Mg.upf
Ni 58.69 Ni.upf
CELL_PARAMETERS angstrom
-3.482 -1.335 -4.817
2.832 -5.039 1.922
-7.656 -1.983 6.084
ATOMIC_POSITIONS crystal
Cr 0.252 0.748 0.500
Cr 0.748 0.252 0.500
Cr 0.000 0.000 0.756
Cr 0.000 0.000 0.244
Mg 0.254 0.746 0.000
Mg 0.746 0.254 0.000
Mg 0.500 0.500 0.750
Mg 0.500 0.500 0.250
Ni 0.246 0.754 0.740
Ni 0.882 0.637 0.869
Ni 0.118 0.363 0.869
Ni 0.754 0.246 0.740
Ni 0.363 0.118 0.869
Ni 0.637 0.882 0.869
Ni 0.500 0.500 0.500
Ni 0.116 0.370 0.620
Ni 0.370 0.116 0.620
Ni 0.246 0.754 0.260
Ni 0.884 0.630 0.380
Ni 0.116 0.370 0.380
Ni 0.754 0.246 0.260
Ni 0.370 0.116 0.380
Ni 0.630 0.884 0.380
Ni 0.500 0.500 0.000
Ni 0.118 0.363 0.131
Ni 0.363 0.118 0.131
Ni 0.000 0.000 0.500
Ni 0.630 0.884 0.620
Ni 0.884 0.630 0.620
Ni 0.000 0.000 0.000
Ni 0.637 0.882 0.131
Ni 0.882 0.637 0.131
```

=====

No. 2
KReSeBr2 | GGA-PBEsol | optimized geometry Values from VASP.

DOS at the Fermi energy: 0.542 states/eV per atom
calculated density: 5.8 g/cm3
crystal system: tetragonal
DFT total energy: -4.676 eV/atom

The structure in Quantum ESPRESSO input format:
```
&SYSTEM
  ibrav = 0, nat = 5, ntyp = 4
/
ATOMIC_SPECIES
Re 186.21 Re.upf
K 39.10 K.upf
Se 78.96 Se.upf
Br 79.90 Br.upf
CELL_PARAMETERS angstrom
-2.801 3.752 0.064
-4.266 -3.181 -0.277
-0.179 -0.224 5.321
ATOMIC_POSITIONS crystal
Re 0.000 0.000 0.000
K 0.500 0.500 0.500
Se 0.500 0.000 0.000
Br 0.000 0.000 0.500
Br 0.000 0.500 0.000
```

=====

No. 3
KLiBC2 | GGA-PBEsol | optimized geometry Values from VASP.

DOS at the Fermi energy: 0.261 states/eV per atom
formation energy from the elements: 1736.9 meV/atom
calculated density: 2.4 g/cm3
crystal system: tetragonal
DFT total energy: -4.144 eV/atom

The structure in Quantum ESPRESSO input format:
```
&SYSTEM
  ibrav = 0, nat = 5, ntyp = 4
/
ATOMIC_SPECIES
K 39.10 K.upf
B 10.81 B.upf
C 12.01 C.upf
Li 6.94 Li.upf
CELL_PARAMETERS angstrom
3.431 0.000 0.000
0.000 3.431 0.000
0.000 0.000 4.752
ATOMIC_POSITIONS crystal
K 0.000 0.000 0.500
B 0.000 0.000 0.000
C 0.000 0.500 0.000
C 0.500 0.000 0.000
Li 0.500 0.500 0.500
```

=====

No. 4
MnBeAs | GGA-PBEsol | optimized geometry Values from VASP.

formation energy from the elements: -190.6 meV/atom
calculated density: 7.2 g/cm3
crystal system: tetragonal
ΔE to the lowest computed polymorph: 0.0000 eV/atom
DFT total energy: -6.480 eV/atom

The structure in Quantum ESPRESSO input format:
```
&SYSTEM
  ibrav = 0, nat = 3, ntyp = 3
/
ATOMIC_SPECIES
Be 9.01 Be.upf
As 74.92 As.upf
Mn 54.94 Mn.upf
CELL_PARAMETERS angstrom
2.956 0.000 0.000
0.000 2.956 0.000
-1.478 -1.478 3.661
ATOMIC_POSITIONS crystal
Be 0.671 0.671 0.342
As 0.998 0.998 0.995
Mn 0.331 0.331 0.663
```

=====

No. 5
YScMo2 | GGA-PBEsol | optimized geometry Values from VASP.

DOS at the Fermi energy: 1.236 states/eV per atom
formation energy from the elements: 482.9 meV/atom
calculated density: 7.2 g/cm3
crystal system: tetragonal
ΔE to the lowest computed polymorph: 0.3983 eV/atom
DFT total energy: -8.758 eV/atom

The structure in Quantum ESPRESSO input format:
```
&SYSTEM
  ibrav = 0, nat = 4, ntyp = 3
/
ATOMIC_SPECIES
Mo 95.94 Mo.upf
Sc 44.96 Sc.upf
Y 88.91 Y.upf
CELL_PARAMETERS angstrom
-3.939 0.030 0.617
-0.450 -2.871 -2.731
2.700 -1.877 4.439
ATOMIC_POSITIONS crystal
Mo 0.750 0.250 0.500
Mo 0.250 0.750 0.500
Sc 0.500 0.500 0.000
Y 0.000 0.000 0.000
```

=====

No. 6
Mn2AsSe | GGA-PBEsol | optimized geometry Values from VASP.

DOS at the Fermi energy: 0.637 states/eV per atom
calculated density: 7.1 g/cm3
crystal system: tetragonal
DFT total energy: -7.276 eV/atom

The structure in Quantum ESPRESSO input format:
```
&SYSTEM
  ibrav = 0, nat = 4, ntyp = 3
/
ATOMIC_SPECIES
As 74.92 As.upf
Mn 54.94 Mn.upf
Se 78.96 Se.upf
CELL_PARAMETERS angstrom
-2.704 -0.272 -1.722
0.166 -3.207 0.245
-3.201 0.215 4.993
ATOMIC_POSITIONS crystal
As 0.500 0.500 0.836
Mn 0.000 0.000 0.998
Mn 0.500 0.500 0.254
Se 0.000 0.000 0.412
```

=====

No. 7
Hg8Br3O4 | GGA-PBEsol | optimized geometry Values from VASP.

calculated density: 9.3 g/cm3
crystal system: monoclinic
DFT total energy: -2.394 eV/atom

The structure in Quantum ESPRESSO input format:
```
&SYSTEM
  ibrav = 0, nat = 60, ntyp = 3
/
ATOMIC_SPECIES
Hg 200.59 Hg.upf
Br 79.90 Br.upf
O 16.00 O.upf
CELL_PARAMETERS angstrom
-0.469 -5.752 2.455
-1.208 -2.587 -6.291
30.195 -5.603 -7.362
ATOMIC_POSITIONS crystal
Hg 0.868 0.357 0.507
Hg 0.632 0.857 0.007
Hg 0.132 0.643 0.493
Hg 0.368 0.143 0.993
Hg 0.324 0.049 0.539
Hg 0.176 0.549 0.039
Hg 0.676 0.951 0.461
Hg 0.824 0.451 0.961
Hg 0.328 0.215 0.608
Hg 0.172 0.715 0.108
Hg 0.672 0.785 0.392
Hg 0.828 0.285 0.892
Hg 0.870 0.886 0.570
Hg 0.630 0.386 0.070
Hg 0.130 0.114 0.430
Hg 0.370 0.614 0.930
Hg 0.077 0.652 0.624
Hg 0.423 0.152 0.124
Hg 0.923 0.348 0.376
Hg 0.577 0.848 0.876
Hg 0.091 0.285 0.711
Hg 0.409 0.785 0.211
Hg 0.909 0.715 0.289
Hg 0.591 0.215 0.789
Hg 0.875 0.848 0.722
Hg 0.625 0.348 0.222
Hg 0.125 0.152 0.278
Hg 0.375 0.652 0.778
Hg 0.575 0.510 0.678
Hg 0.925 0.010 0.178
Hg 0.425 0.490 0.322
Hg 0.075 0.990 0.822
Br 0.495 0.618 0.557
Br 0.005 0.118 0.057
Br 0.505 0.382 0.443
Br 0.995 0.882 0.943
Br 0.815 0.218 0.628
Br 0.685 0.718 0.128
Br 0.185 0.782 0.372
Br 0.315 0.282 0.872
Br 0.353 0.905 0.686
Br 0.147 0.405 0.186
Br 0.647 0.095 0.314
Br 0.853 0.595 0.814
O 0.720 0.075 0.520
O 0.780 0.575 0.020
O 0.280 0.925 0.480
O 0.220 0.425 0.980
O 0.280 0.416 0.657
O 0.220 0.916 0.157
O 0.720 0.584 0.343
O 0.780 0.084 0.843
O 0.895 0.098 0.751
O 0.605 0.598 0.251
O 0.105 0.902 0.249
O 0.395 0.402 0.749
O 0.878 0.596 0.694
O 0.622 0.096 0.194
O 0.122 0.404 0.306
O 0.378 0.904 0.806
```

=====

No. 8
GaSbAs2Se | GGA-PBEsol | optimized geometry Values from VASP.

DOS at the Fermi energy: 0.765 states/eV per atom
calculated density: 6.1 g/cm3
crystal system: tetragonal
DFT total energy: -3.900 eV/atom

The structure in Quantum ESPRESSO input format:
```
&SYSTEM
  ibrav = 0, nat = 5, ntyp = 4
/
ATOMIC_SPECIES
Sb 121.76 Sb.upf
As 74.92 As.upf
Ga 69.72 Ga.upf
Se 78.96 Se.upf
CELL_PARAMETERS angstrom
4.865 0.000 0.000
0.000 4.845 0.000
0.000 0.000 4.845
ATOMIC_POSITIONS crystal
Sb 0.500 0.500 0.500
As 0.000 0.000 0.500
As 0.000 0.500 0.000
Ga 0.000 0.000 0.000
Se 0.500 0.000 0.000
```